# Ba2AlVO6, optimized geometry, DFT PBE with a Hubbard U
# Total moment, Bohr magnetons per cell: 0.0
# DFT total energy, eV/atom: -7.067
# Density, Mg/m³: 5.69
data_Ba2AlVO6
_symmetry_space_group_name_H-M 'R -3 m'
_symmetry_Int_Tables_number 166
_symmetry_space_group_name_Hall '-R 3 2"'
_cell_length_a 5.7124
_cell_length_b 5.7124
_cell_length_c 27.7713
_cell_angle_alpha 90.00
_cell_angle_beta 90.00
_cell_angle_gamma 120.00
loop_
_atom_site_label
_atom_site_type_symbol
_atom_site_fract_x
_atom_site_fract_y
_atom_site_fract_z
_atom_site_occupancy
Ba1 Ba 0.0000 0.0000 0.1300 1
Ba2 Ba 0.0000 0.0000 0.2842 1
Al1 Al 0.0000 0.0000 0.0000 1
Al2 Al 0.0000 0.0000 0.5000 1
V1 V 0.0000 0.0000 0.4074 1
O1 O 0.0028 0.5014 0.2936 1
O2 O 0.0392 0.5196 0.1220 1